The following is a PBE with a Hubbard U calculation of LiCoSnF6 after structural relaxation, from Alexandria via LeMat-Bulk.

Properties
- E_tot (eV/atom) = -4.72
- D(E_F) (states/eV/f.u.) = 0.00

a b c (Å): 5.171 5.171 5.116
angles (deg): 90.00 90.00 120.00
Positions (direct):
Li 0.000 0.000 0.000
Co 0.667 0.333 0.000
Sn 0.333 0.667 0.500
F 0.359 0.042 0.208
F 0.359 0.317 0.792
F 0.683 0.042 0.792
F 0.683 0.641 0.208
F 0.958 0.317 0.208
F 0.958 0.641 0.792